This record from Alexandria describes crystalline BeB2F8 at its relaxed geometry. The functional is PBE.

Geometry as extended XYZ:
```
11
Lattice="4.309 -0.132 -0.113 0.412 5.446 0.066 0.412 0.909 5.370" Properties=species:S:1:pos:R:3 pbc="T T T"
Be 0.000 0.000 0.000
B 1.658 1.226 1.048
B 3.474 4.997 4.274
F 3.763 0.796 3.833
F 1.369 2.313 5.131
F 3.019 0.938 0.802
F 2.113 5.285 4.521
F 3.763 3.910 0.192
F 1.369 5.427 1.490
F 1.482 2.233 1.910
F 3.650 3.990 3.413
```

Properties
For the final energy, the calculation gives -5.72 eV/atom. The total moment is 0.074 Bohr magnetons per cell. The value obtained for the volume is 11.48 Å³/atom. For the formation energy from raw total energies, the calculation gives -2.8068 eV per atom.

***

This record from Alexandria describes crystalline TbHoSnPt at its relaxed geometry. The functional is PBE.

Geometry as extended XYZ:
```
4
Lattice="5.147 0.000 0.000 2.574 4.458 0.000 2.574 1.486 4.203" Properties=species:S:1:pos:R:3 pbc="T T T"
Tb 0.000 0.000 0.000
Ho 5.147 2.972 2.101
Pt 7.721 4.458 3.152
Sn 2.574 1.486 1.051
```

Properties
For the final energy, the calculation gives -5.67 eV/atom. The total moment is 0.000 Bohr magnetons per cell. The value obtained for the volume is 24.11 Å³/atom.

***

This record from Alexandria describes crystalline Rb4La3GeS8 at its relaxed geometry. The functional is PBE.

Geometry as extended XYZ:
```
16
Lattice="8.455 0.000 0.000 0.000 9.095 0.442 -4.227 -4.219 5.983" Properties=species:S:1:pos:R:3 pbc="T T T"
Rb 4.227 0.000 0.000
Rb 2.114 -2.110 2.992
Rb 0.000 0.000 0.000
Rb -2.114 -2.110 2.992
La 4.227 4.548 0.221
La 2.114 2.438 3.212
La -2.114 2.438 3.212
Ge 0.000 4.548 0.221
S -2.241 2.187 6.112
S 0.000 4.424 2.938
S 0.000 0.475 3.321
S 2.241 2.187 6.112
S 1.987 2.689 0.313
S 4.227 4.401 3.104
S 4.227 0.452 3.487
S 6.468 2.689 0.313
```

Properties
For the final energy, the calculation gives -5.03 eV/atom. The total moment is 0.000 Bohr magnetons per cell. The value obtained for the volume is 29.74 Å³/atom. For the formation energy from raw total energies, the calculation gives -1.5135 eV per atom.

***

This record from Alexandria describes crystalline KBe2Al at its relaxed geometry. The functional is PBE.

Geometry as extended XYZ:
```
4
Lattice="-3.530 2.752 1.760 -2.981 -1.658 -3.387 -0.844 -2.266 1.851" Properties=species:S:1:pos:R:3 pbc="T T T"
Be 0.000 0.000 0.000
Be -3.255 0.547 -0.814
K -2.187 0.243 1.805
Al -1.912 -1.962 -0.768
```

Properties
For the final energy, the calculation gives -2.01 eV/atom. The total moment is 0.000 Bohr magnetons per cell. The value obtained for the volume is 17.60 Å³/atom.

***

Copy entry 3 word for word.
This record from Alexandria describes crystalline Rb4La3GeS8 at its relaxed geometry. The functional is PBE.

Geometry as extended XYZ:
```
16
Lattice="8.455 0.000 0.000 0.000 9.095 0.442 -4.227 -4.219 5.983" Properties=species:S:1:pos:R:3 pbc="T T T"
Rb 4.227 0.000 0.000
Rb 2.114 -2.110 2.992
Rb 0.000 0.000 0.000
Rb -2.114 -2.110 2.992
La 4.227 4.548 0.221
La 2.114 2.438 3.212
La -2.114 2.438 3.212
Ge 0.000 4.548 0.221
S -2.241 2.187 6.112
S 0.000 4.424 2.938
S 0.000 0.475 3.321
S 2.241 2.187 6.112
S 1.987 2.689 0.313
S 4.227 4.401 3.104
S 4.227 0.452 3.487
S 6.468 2.689 0.313
```

Properties
For the final energy, the calculation gives -5.03 eV/atom. The total moment is 0.000 Bohr magnetons per cell. The value obtained for the volume is 29.74 Å³/atom. For the formation energy from raw total energies, the calculation gives -1.5135 eV per atom.

***

Which value of total moment does entry 1 give?
0.074 Bohr magnetons per cell

***

Look up the volume of the fourth one.
17.60 Å³/atom